(1)
Computed, not measured: an optimized crystal structure of LaPrMg17 at the PBE level of DFT.

Cell lengths 7.8385, 7.8385, 7.8385 Å; angles 82.37, 82.37, 82.37 degrees
Fractional positions:
La (0.0000, 0.0000, 0.0000)
Pr (0.6621, 0.6621, 0.6621)
Mg (0.0314, 0.3319, 0.6312)
Mg (0.0314, 0.6312, 0.3319)
Mg (0.1743, 0.6824, 0.6824)
Mg (0.2331, 0.2331, 0.2331)
Mg (0.3308, 0.3308, 0.8321)
Mg (0.3308, 0.8321, 0.3308)
Mg (0.3319, 0.0314, 0.6312)
Mg (0.3319, 0.6312, 0.0314)
Mg (0.4306, 0.4306, 0.4306)
Mg (0.4931, 0.9789, 0.9789)
Mg (0.6312, 0.0314, 0.3319)
Mg (0.6312, 0.3319, 0.0314)
Mg (0.6824, 0.1743, 0.6824)
Mg (0.6824, 0.6824, 0.1743)
Mg (0.8321, 0.3308, 0.3308)
Mg (0.9789, 0.4931, 0.9789)
Mg (0.9789, 0.9789, 0.4931)

## Properties
DOS(E_F) (states/eV/cell): 8.36
DFT formation energy (eV per atom): -0.072

(2)
Computed, not measured: an optimized crystal structure of LiSn4Te5 at the PBE level of DFT.

Cell lengths 16.1684, 16.1684, 16.1684 Å; angles 164.22, 164.22, 22.38 degrees
Fractional positions:
Li (0.0000, 0.0000, 0.0000)
Sn (0.1990, 0.1990, 0.0000)
Sn (0.4067, 0.4067, 0.0000)
Sn (0.5933, 0.5933, 0.0000)
Sn (0.8010, 0.8010, 0.0000)
Te (0.1006, 0.1006, 0.0000)
Te (0.3006, 0.3006, 0.0000)
Te (0.5000, 0.5000, 0.0000)
Te (0.6994, 0.6994, 0.0000)
Te (0.8994, 0.8994, 0.0000)

## Properties
DOS(E_F) (states/eV/cell): 6.06
Raw formation energy (eV per atom): -0.356

(3)
Computed, not measured: an optimized crystal structure of LiFe3Ag at the PBE level of DFT.

Cell lengths 4.0764, 4.0764, 4.0764 Å; angles 90.00, 90.00, 90.00 degrees
Fractional positions:
Li (0.0000, 0.0000, 0.0000)
Fe (0.0000, 0.0000, 0.5000)
Fe (0.0000, 0.5000, 0.0000)
Fe (0.5000, 0.0000, 0.0000)
Ag (0.5000, 0.5000, 0.5000)

## Properties
Relative energy among the computed polymorphs (meV/atom): 0
DOS(E_F) (states/eV/cell): 4.24
DFT formation energy (eV per atom): 1.015

(4)
Computed, not measured: an optimized crystal structure of Sr2In2I at the PBE level of DFT.

Cell lengths 9.6289, 9.6289, 3.9946 Å; angles 90.00, 90.00, 90.00 degrees
Fractional positions:
Sr (0.1930, 0.3070, 0.0000)
Sr (0.3070, 0.8070, 0.0000)
Sr (0.6930, 0.1930, 0.0000)
Sr (0.8070, 0.6930, 0.0000)
In (0.1044, 0.6044, 0.5000)
In (0.3956, 0.1044, 0.5000)
In (0.6044, 0.8956, 0.5000)
In (0.8956, 0.3956, 0.5000)
I (0.0000, 0.0000, 0.5000)
I (0.5000, 0.5000, 0.5000)

## Properties
DOS(E_F) (states/eV/cell): 3.59
Raw formation energy (eV per atom): -0.510

(5)
Computed, not measured: an optimized crystal structure of Si2Mo2W at the PBE level of DFT.

Cell lengths 6.6648, 6.6648, 3.2557 Å; angles 90.00, 90.00, 90.00 degrees
Fractional positions:
Si (0.1336, 0.3664, 0.0000)
Si (0.3664, 0.8664, 0.0000)
Si (0.6336, 0.1336, 0.0000)
Si (0.8664, 0.6336, 0.0000)
Mo (0.1614, 0.6614, 0.5000)
Mo (0.3386, 0.1614, 0.5000)
Mo (0.6614, 0.8386, 0.5000)
Mo (0.8386, 0.3386, 0.5000)
W (0.0000, 0.0000, 0.0000)
W (0.5000, 0.5000, 0.0000)

## Properties
DOS(E_F) (states/eV/cell): 7.68
Raw formation energy (eV per atom): -0.202

(6)
Computed, not measured: an optimized crystal structure of Li2AgSbAu5 at the PBE level of DFT.

Cell lengths 9.4061, 9.4061, 9.4061 Å; angles 141.54, 141.54, 55.53 degrees
Fractional positions:
Li (0.1211, 0.6211, 0.7422)
Li (0.3789, 0.1211, 0.5000)
Li (0.6211, 0.8789, 0.5000)
Li (0.8789, 0.3789, 0.2578)
Ag (0.2500, 0.7500, 0.5000)
Ag (0.7500, 0.2500, 0.5000)
Sb (0.2500, 0.2500, 0.0000)
Sb (0.7500, 0.7500, 0.0000)
Au (0.0000, 0.0000, 0.0000)
Au (0.0797, 0.1844, 0.5000)
Au (0.1844, 0.6844, 0.1047)
Au (0.3156, 0.4203, 0.5000)
Au (0.4203, 0.9203, 0.1047)
Au (0.5000, 0.5000, 0.0000)
Au (0.5797, 0.0797, 0.8953)
Au (0.6844, 0.5797, 0.5000)
Au (0.8156, 0.3156, 0.8953)
Au (0.9203, 0.8156, 0.5000)

## Properties
DOS(E_F) (states/eV/cell): 3.77
Raw formation energy (eV per atom): -0.103

(7)
Computed, not measured: an optimized crystal structure of TbCdPb2 at the PBE level of DFT.

Cell lengths 5.4178, 5.4178, 5.4178 Å; angles 60.00, 60.00, 60.00 degrees
Fractional positions:
Tb (0.0000, 0.0000, 0.0000)
Cd (0.5000, 0.5000, 0.5000)
Pb (0.2500, 0.2500, 0.2500)
Pb (0.7500, 0.7500, 0.7500)

## Properties
Relative energy among the computed polymorphs (meV/atom): 214
DOS(E_F) (states/eV/cell): 3.98
DFT formation energy (eV per atom): -0.107

Repeat the fifth record exactly.
Computed, not measured: an optimized crystal structure of Si2Mo2W at the PBE level of DFT.

Cell lengths 6.6648, 6.6648, 3.2557 Å; angles 90.00, 90.00, 90.00 degrees
Fractional positions:
Si (0.1336, 0.3664, 0.0000)
Si (0.3664, 0.8664, 0.0000)
Si (0.6336, 0.1336, 0.0000)
Si (0.8664, 0.6336, 0.0000)
Mo (0.1614, 0.6614, 0.5000)
Mo (0.3386, 0.1614, 0.5000)
Mo (0.6614, 0.8386, 0.5000)
Mo (0.8386, 0.3386, 0.5000)
W (0.0000, 0.0000, 0.0000)
W (0.5000, 0.5000, 0.0000)

## Properties
DOS(E_F) (states/eV/cell): 7.68
Raw formation energy (eV per atom): -0.202

> Number 6 is which compound?

Li2AgSbAu5

> Look up the DOS(E_F) of the first one.

8.36 states/eV/cell

> DOS(E_F) of number 1 (LaPrMg17)?

8.36 states/eV/cell